# AgCl

AgCl after structural relaxation (PBEsol, Alexandria via LeMat-Bulk).

a b c (Å): 7.176 3.636 6.236
angles (deg): 90.00 90.00 90.00
Atoms (fractional coordinates):
1 Ag 0.232 0.250 0.097
2 Ag 0.268 0.750 0.597
3 Ag 0.732 0.250 0.403
4 Ag 0.768 0.750 0.903
5 Cl 0.045 0.250 0.752
6 Cl 0.455 0.750 0.252
7 Cl 0.545 0.250 0.748
8 Cl 0.955 0.750 0.248

Values from the calculation:
electronic total energy	-3.006	eV per atom
energy relative to the elements, uncorrected	-0.35	eV/atom